# PBE RbNiMo, relaxed
# Energy above the most stable polymorph in this dataset, eV/atom: 0.498
# V, Å³/cell: 88
# Size of the total moment, μB/f.u.: 4.902
data_RbNiMo
_cell_length_a 4.993
_cell_length_b 4.993
_cell_length_c 4.993
_cell_angle_alpha 60.00
_cell_angle_beta 60.00
_cell_angle_gamma 60.00
_space_group_name_H-M_alt 'P 1'
_space_group_IT_number 1
loop_
_space_group_symop_operation_xyz
'x,y,z'
loop_
_atom_site_label
_atom_site_type_symbol
_atom_site_fract_x
_atom_site_fract_y
_atom_site_fract_z
Rb1 Rb 0.000 0.000 0.000
Ni1 Ni 0.250 0.250 0.250
Mo1 Mo 0.750 0.750 0.750